(1)
{"formula": "NaPr2Be2O6", "functional": "PBE-GGA", "state": "optimized geometry", "lattice_angstrom": [[5.319, 0.000, 0.000], [2.660, 4.607, 0.000], [2.660, 1.536, 5.918]], "species": ["Na", "Pr", "Pr", "Be", "Be", "O", "O", "O", "O", "O", "O"], "fractional_positions": [[0.000, 0.000, 0.000], [0.793, 0.793, 0.620], [0.207, 0.207, 0.380], [0.430, 0.430, 0.711], [0.570, 0.570, 0.289], [0.733, 0.733, 0.297], [0.236, 0.733, 0.297], [0.733, 0.236, 0.297], [0.267, 0.764, 0.703], [0.764, 0.267, 0.703], [0.267, 0.267, 0.703]], "crystal_system": "trigonal", "dft_energy_ev_per_atom": -6.768, "vol_a3_per_cell": 145.03, "e_form_raw_kj_per_mol_fu": -2544, "magnetic_moment_mub_per_fu": 0.93}

***

(2)
{"formula": "NaBePtO5", "functional": "PBE-GGA", "state": "optimized geometry", "lattice_angstrom": [[-5.188, 1.121, -1.176], [1.621, -3.927, -3.391], [-0.171, -3.044, 6.410]], "species": ["Na", "Na", "Be", "Be", "Pt", "Pt", "O", "O", "O", "O", "O", "O", "O", "O", "O", "O"], "fractional_positions": [[0.349, 0.651, 0.250], [0.651, 0.349, 0.750], [0.694, 0.306, 0.250], [0.306, 0.694, 0.750], [0.000, 0.000, 0.500], [0.000, 0.000, 0.000], [0.093, 0.907, 0.250], [0.907, 0.093, 0.750], [0.916, 0.309, 0.136], [0.084, 0.691, 0.864], [0.691, 0.084, 0.364], [0.309, 0.916, 0.636], [0.759, 0.612, 0.419], [0.241, 0.388, 0.581], [0.388, 0.241, 0.081], [0.612, 0.759, 0.919]], "crystal_system": "monoclinic", "dft_energy_ev_per_atom": -5.450, "vol_a3_per_cell": 179.73, "e_form_raw_kj_per_mol_fu": -745, "magnetic_moment_mub_per_fu": 0.95}

***

(3)
{"formula": "NaBePtO4", "functional": "PBE-GGA", "state": "optimized geometry", "lattice_angstrom": [[-5.119, -1.386, -1.042], [1.097, 0.222, 5.288], [-1.683, 6.144, 0.092]], "species": ["Na", "Na", "Be", "Be", "Pt", "Pt", "O", "O", "O", "O", "O", "O", "O", "O"], "fractional_positions": [[0.500, 0.500, 0.500], [0.500, 0.500, 0.000], [0.120, 0.880, 0.250], [0.880, 0.120, 0.750], [0.830, 0.170, 0.250], [0.170, 0.830, 0.750], [0.204, 0.206, 0.750], [0.794, 0.796, 0.750], [0.779, 0.221, 0.959], [0.779, 0.221, 0.541], [0.221, 0.779, 0.041], [0.221, 0.779, 0.459], [0.796, 0.794, 0.250], [0.206, 0.204, 0.250]], "crystal_system": "orthorhombic", "dft_energy_ev_per_atom": -5.410, "vol_a3_per_cell": 171.25, "e_form_raw_kj_per_mol_fu": -671, "magnetic_moment_mub_per_fu": 0.00}

***

(4)
{"formula": "Na2Be2PtO6", "functional": "PBE-GGA", "state": "optimized geometry", "lattice_angstrom": [[-3.651, 1.213, -3.653], [-2.266, -3.847, -2.865], [-5.812, -1.357, 1.506]], "species": ["Na", "Na", "Be", "Be", "Pt", "O", "O", "O", "O", "O", "O"], "fractional_positions": [[0.801, 0.801, 0.597], [0.199, 0.199, 0.403], [0.400, 0.400, 0.799], [0.600, 0.600, 0.201], [0.000, 0.000, 0.000], [0.756, 0.756, 0.228], [0.260, 0.756, 0.228], [0.756, 0.260, 0.228], [0.244, 0.740, 0.772], [0.740, 0.244, 0.772], [0.244, 0.244, 0.772]], "crystal_system": "trigonal", "dft_energy_ev_per_atom": -5.586, "vol_a3_per_cell": 130.14, "e_form_raw_kj_per_mol_fu": -1502, "magnetic_moment_mub_per_fu": 0.00}